# 1
K3Ac2LaSe6: relaxed, PBE.

abc: 4.539 9.321 10.366
angles: 104.99 102.65 90.00
Positions (direct):
K  0.500  0.500  0.000
K  0.834  0.167  0.667
K  0.166  0.833  0.333
Ac  0.834  0.669  0.669
Ac  0.166  0.331  0.331
La  0.500  0.000  0.000
Se  0.344  0.903  0.687
Se  0.673  0.566  0.347
Se  0.656  0.097  0.313
Se  0.006  0.223  0.012
Se  0.994  0.777  0.988
Se  0.327  0.434  0.653

The space group is C2/m (12). The uncorrected formation energy comes out at -1.82 eV/atom.



# 2
Cs3Li2DyCl9: relaxed, PBE.

abc: 7.416 7.416 9.263
angles: 90.00 90.00 120.00
Positions (direct):
Cs  0.333  0.667  0.674
Cs  0.000  0.000  0.000
Cs  0.667  0.333  0.326
Li  0.333  0.667  0.152
Li  0.667  0.333  0.848
Dy  0.000  0.000  0.500
Cl  0.833  0.167  0.666
Cl  0.833  0.666  0.666
Cl  0.334  0.167  0.666
Cl  0.666  0.833  0.334
Cl  0.167  0.334  0.334
Cl  0.167  0.833  0.334
Cl  0.500  0.000  0.000
Cl  0.000  0.500  0.000
Cl  0.500  0.500  0.000

The space group is P-3m1 (164). The uncorrected formation energy comes out at -1.87 eV/atom.



# 3
Te2RuCl: relaxed, PBE.

abc: 4.841 4.841 4.841
angles: 60.00 60.00 60.00
Positions (direct):
Ru  0.500  0.500  0.500
Te  0.250  0.250  0.250
Te  0.750  0.750  0.750
Cl  0.000  0.000  0.000

The space group is Fm-3m (225). The uncorrected formation energy comes out at 0.32 eV/atom.



# 4
Dy2PaZn: relaxed, PBE.

abc: 3.267 3.267 11.423
angles: 81.78 81.78 60.00
Positions (direct):
Zn  0.500  0.500  0.500
Pa  0.000  0.000  0.000
Dy  0.096  0.096  0.711
Dy  0.904  0.904  0.289

The space group is R-3m (166). The value obtained for the energy of formation from the pure elements is 0.23 eV/atom.



# 5
Tc2Rh: relaxed, PBE.

abc: 4.950 4.950 4.950
angles: 104.50 104.50 119.96
Positions (direct):
Tc  0.638  0.138  0.777
Tc  0.138  0.362  0.500
Tc  0.862  0.638  0.500
Tc  0.362  0.862  0.223
Rh  0.750  0.750  0.000
Rh  0.250  0.250  0.000

The space group is I4/mcm (140). The value obtained for the energy of formation from the pure elements is 0.17 eV/atom.



# 6
LaScTi2: relaxed, PBE.

abc: 5.070 5.070 5.070
angles: 60.00 60.00 60.00
Positions (direct):
Sc  0.000  0.000  0.000
Ti  0.250  0.250  0.250
Ti  0.750  0.750  0.750
La  0.500  0.500  0.500

The space group is Fm-3m (225). The value obtained for the energy of formation from the pure elements is 0.34 eV/atom.



Number 1: calculated volume 413 Å³/f.u.. Number 2: calculated volume 441 Å³/f.u.. Number 3: calculated volume 80 Å³/f.u.. Number 4: calculated volume 104 Å³/f.u.. Number 5: calculated volume 46 Å³/f.u.. Number 6: calculated volume 92 Å³/f.u..